(1)
! KNaCd2 | the Alexandria database | GGA-PBE | optimized geometry; values from VASP
! formation energy = 0.0619 eV per atom
! distance to the lowest polymorph of the same formula = 119 meV/atom
! total DFT energy (no corrections) = -4.00 eV/cell
! space group = R-3m, No. 166
&SYSTEM
  ibrav = 0, nat = 4, ntyp = 3
/
ATOMIC_SPECIES
Cd 112.41 Cd.upf
Na 22.99 Na.upf
K 39.10 K.upf
ATOMIC_POSITIONS crystal
Cd 0.744 0.744 0.768
Cd 0.256 0.256 0.232
Na 0.000 0.000 0.000
K 0.500 0.500 0.500
CELL_PARAMETERS angstrom
3.683 0.000 0.000
1.841 3.189 0.000
1.841 1.063 11.182


(2)
! K4NaCd3 | the Alexandria database | GGA-PBE | optimized geometry; values from VASP
! formation energy = -0.0255 eV per atom
! total DFT energy (no corrections) = -8.66 eV/cell
! space group = Pmm2, No. 25
&SYSTEM
  ibrav = 0, nat = 8, ntyp = 3
/
ATOMIC_SPECIES
K 39.10 K.upf
Cd 112.41 Cd.upf
Na 22.99 Na.upf
ATOMIC_POSITIONS crystal
K 0.500 0.500 0.364
K 0.000 0.000 0.157
K 0.000 0.500 0.840
K 0.500 0.000 0.646
Cd 0.000 0.000 0.449
Cd 0.500 0.000 0.927
Cd 0.000 0.500 0.556
Na 0.500 0.500 0.061
CELL_PARAMETERS angstrom
-3.151 -3.939 0.571
3.075 -1.904 3.830
-6.995 6.909 9.051


Number 1: magnetization 0.00 μB per formula unit. Number 2: magnetization 0.00 μB per formula unit.